# PBE K2CuF2, optimized geometry
# Formation energy (no corrections) in eV per atom: -1.461
data_K2CuF2
_cell_length_a 7.850
_cell_length_b 7.850
_cell_length_c 3.057
_cell_angle_alpha 90.00
_cell_angle_beta 90.00
_cell_angle_gamma 90.00
_space_group_name_H-M_alt 'P 4/m b m'
_space_group_IT_number 127
_space_group_name_Hall '-P 4 2ab'
loop_
_atom_site_label
_atom_site_type_symbol
_atom_site_fract_x
_atom_site_fract_y
_atom_site_fract_z
K1 K 0.144 0.356 0.000
Cu1 Cu 0.000 0.000 0.000
F1 F 0.149 0.649 0.500